Entry 1:
Ba2MgTaTl | PBE-GGA | optimized geometry

a b c (Å): 6.131 6.131 5.521
angles (deg): 90.00 90.00 90.00
Sites, in units of the cell vectors:
Ba  0.000  0.500  0.000
Ba  0.500  0.000  0.000
Mg  0.000  0.000  0.500
Ta  0.500  0.500  0.000
Tl  0.500  0.500  0.500

Calculated values
- V (Å³ per atom) = 41.5
- M_tot (μB per formula unit) = 0.00
- theoretical density (g/cm3) = 5.475
- ΔH_f (0 K) (meV/atom) = 745

***

Entry 2:
Ho8AlOs2 | PBE-GGA | optimized geometry

a b c (Å): 7.807 7.807 5.418
angles (deg): 97.67 97.67 112.07
Sites, in units of the cell vectors:
Ho  0.062  0.328  0.581
Ho  0.245  0.755  0.000
Ho  0.328  0.062  0.581
Ho  0.379  0.379  0.197
Ho  0.621  0.621  0.803
Ho  0.672  0.938  0.419
Ho  0.755  0.245  0.000
Ho  0.938  0.672  0.419
Al  0.000  0.000  0.000
Os  0.315  0.685  0.500
Os  0.685  0.315  0.500

Calculated values
- V (Å³ per atom) = 27.0
- M_tot (μB per formula unit) = 0.00
- theoretical density (g/cm3) = 9.650
- ΔH_f (0 K) (meV/atom) = -191

***

Entry 3:
H9PdPt3 | PBE-GGA | optimized geometry

a b c (Å): 4.525 6.238 8.104
angles (deg): 90.00 92.48 90.00
Sites, in units of the cell vectors:
H  0.132  0.250  0.225
H  0.187  0.250  0.802
H  0.216  0.551  0.349
H  0.216  0.949  0.349
H  0.249  0.544  0.658
H  0.249  0.956  0.658
H  0.267  0.521  0.018
H  0.267  0.979  0.018
H  0.347  0.250  0.506
H  0.653  0.750  0.494
H  0.733  0.021  0.982
H  0.733  0.479  0.982
H  0.751  0.044  0.342
H  0.751  0.456  0.342
H  0.784  0.051  0.651
H  0.784  0.449  0.651
H  0.813  0.750  0.198
H  0.868  0.750  0.775
Pd  0.491  0.250  0.010
Pd  0.509  0.750  0.990
Pt  0.018  0.501  0.816
Pt  0.018  0.999  0.816
Pt  0.500  0.000  0.500
Pt  0.500  0.500  0.500
Pt  0.982  0.001  0.184
Pt  0.982  0.499  0.184

Calculated values
- V (Å³ per atom) = 8.8
- electronic total energy (eV per atom) = -4.0845
- M_tot (μB per formula unit) = 0.00
- theoretical density (g/cm3) = 10.182

***

Entry 4:
CaZrMn | PBE-GGA | optimized geometry

a b c (Å): 3.427 3.427 7.035
angles (deg): 90.00 90.00 120.00
Sites, in units of the cell vectors:
Ca  0.000  0.000  0.000
Zr  0.333  0.667  0.563
Mn  0.667  0.333  0.327

Calculated values
- V (Å³ per atom) = 23.9
- M_tot (μB per formula unit) = 1.56
- theoretical density (g/cm3) = 4.321
- ΔE to the lowest computed polymorph (kcal/mol of atoms) = 5.62
- ΔH_f (0 K) (meV/atom) = 521

***

Entry 5:
Ti4Tc2Rh | PBE-GGA | optimized geometry

a b c (Å): 5.314 5.314 5.314
angles (deg): 110.03 110.03 108.37
Sites, in units of the cell vectors:
Ti  0.000  0.000  0.500
Ti  0.000  0.500  0.000
Ti  0.500  0.000  0.000
Ti  0.500  0.500  0.500
Tc  0.000  0.500  0.500
Tc  0.500  0.000  0.500
Rh  0.000  0.000  0.000

Calculated values
- V (Å³ per atom) = 16.5
- M_tot (μB per formula unit) = 0.00
- theoretical density (g/cm3) = 7.049
- ΔH_f (0 K) (meV/atom) = -371

***

Entry 6:
MnCr2Cl | PBE-GGA | optimized geometry

a b c (Å): 7.825 7.825 7.825
angles (deg): 22.43 22.43 22.43
Sites, in units of the cell vectors:
Mn  0.000  0.000  0.000
Cr  0.252  0.252  0.252
Cr  0.511  0.511  0.511
Cl  0.752  0.752  0.752

Calculated values
- V (Å³ per atom) = 15.3
- M_tot (μB per formula unit) = 4.95
- theoretical density (g/cm3) = 5.277
- ΔE to the lowest computed polymorph (kcal/mol of atoms) = 3.00
- E_form (uncorrected) (eV/atom) = 0.23

***

Entry 7:
CaSc3C | PBE-GGA | optimized geometry

a b c (Å): 4.988 4.988 4.988
angles (deg): 90.00 90.00 90.00
Sites, in units of the cell vectors:
Ca  0.000  0.000  0.000
Sc  0.000  0.000  0.500
Sc  0.000  0.500  0.000
Sc  0.500  0.000  0.000
C  0.500  0.500  0.500

Calculated values
- V (Å³ per atom) = 24.8
- M_tot (μB per formula unit) = 0.00
- theoretical density (g/cm3) = 2.502
- ΔE to the lowest computed polymorph (kcal/mol of atoms) = 57.27
- ΔH_f (0 K) (meV/atom) = 2424

***

Entry 8:
CsIn3Sn | PBE-GGA | optimized geometry

a b c (Å): 7.190 7.190 7.396
angles (deg): 90.00 90.00 117.77
Sites, in units of the cell vectors:
Cs  0.250  0.750  0.750
Cs  0.750  0.250  0.250
In  0.129  0.871  0.250
In  0.250  0.250  0.000
In  0.250  0.250  0.500
In  0.750  0.750  0.000
In  0.750  0.750  0.500
In  0.871  0.129  0.750
Sn  0.370  0.630  0.250
Sn  0.630  0.370  0.750

Calculated values
- V (Å³ per atom) = 33.8
- M_tot (μB per formula unit) = 0.00
- theoretical density (g/cm3) = 5.852
- ΔE to the lowest computed polymorph (kcal/mol of atoms) = 0.00
- ΔH_f (0 K) (meV/atom) = -158

***

Entry 9:
SiTe2W | PBE-GGA | optimized geometry

a b c (Å): 6.854 6.854 6.854
angles (deg): 152.19 140.96 48.61
Sites, in units of the cell vectors:
Si  0.000  0.000  0.000
Te  0.373  0.873  0.500
Te  0.651  0.651  0.000
W  0.829  0.329  0.500

Calculated values
- V (Å³ per atom) = 23.6
- M_tot (μB per formula unit) = 0.00
- theoretical density (g/cm3) = 8.231
- E_form (uncorrected) (eV/atom) = 0.60

***

Entry 10:
TbPuSc3 | PBE-GGA | optimized geometry

a b c (Å): 8.595 8.595 8.595
angles (deg): 43.58 43.58 43.58
Sites, in units of the cell vectors:
Tb  0.076  0.076  0.076
Tb  0.924  0.924  0.924
Pu  0.334  0.334  0.334
Pu  0.666  0.666  0.666
Sc  0.110  0.619  0.619
Sc  0.381  0.381  0.890
Sc  0.381  0.890  0.381
Sc  0.619  0.110  0.619
Sc  0.619  0.619  0.110
Sc  0.890  0.381  0.381

Calculated values
- V (Å³ per atom) = 27.4
- M_tot (μB per formula unit) = 7.29
- theoretical density (g/cm3) = 6.523
- ΔH_f (0 K) (meV/atom) = 254

***

Entry 11:
Ho3Fe2C4 | PBE-GGA | optimized geometry

a b c (Å): 5.963 5.963 6.649
angles (deg): 94.18 94.18 31.36
Sites, in units of the cell vectors:
Ho  0.000  0.000  0.000
Ho  0.368  0.368  0.472
Ho  0.632  0.632  0.528
Fe  0.269  0.269  0.855
Fe  0.731  0.731  0.145
C  0.178  0.178  0.281
C  0.347  0.347  0.104
C  0.653  0.653  0.896
C  0.822  0.822  0.719

Calculated values
- V (Å³ per atom) = 13.6
- M_tot (μB per formula unit) = 0.00
- theoretical density (g/cm3) = 8.860
- ΔH_f (0 K) (meV/atom) = -19

***

Entry 12:
Pm2BeRh3 | PBE-GGA | optimized geometry

a b c (Å): 5.050 5.050 5.050
angles (deg): 67.47 67.47 67.47
Sites, in units of the cell vectors:
Pm  0.130  0.130  0.130
Pm  0.870  0.870  0.870
Be  0.500  0.500  0.500
Rh  0.000  0.500  0.500
Rh  0.500  0.000  0.500
Rh  0.500  0.500  0.000

Calculated values
- V (Å³ per atom) = 17.6
- M_tot (μB per formula unit) = 0.00
- theoretical density (g/cm3) = 9.558
- ΔE to the lowest computed polymorph (kcal/mol of atoms) = 0.00
- ΔH_f (0 K) (meV/atom) = -658